Record 1
Here is a geometry-optimized Mg15AlIn4 structure from the Alexandria database. Energies are from PBE.

a = 4.5333 Å, b = 4.5333 Å, c = 21.7887 Å
α = 90.00°, β = 90.00°, γ = 90.00°
Closest atoms and distances in Å follow each position.
Space group P4/mmm (No. 123)
Symmetry-distinct sites (fractional):
Mg: 0.0000 0.0000 0.0000 [1 per cell]  8 Mg 3.07, 4 Al 3.21
Mg: 0.0000 0.0000 0.1969 [2 per cell]  8 Mg 3.17, 4 In 3.21
Mg: 0.0000 0.0000 0.3994 [2 per cell]  8 Mg 3.15-3.16, 4 In 3.21
Mg: 0.0000 0.5000 0.0952 [4 per cell]  8 Mg 3.07-3.21, 2 Al 3.07, 2 In 3.18
Mg: 0.0000 0.5000 0.2983 [4 per cell]  4 In 3.16, 8 Mg 3.16-3.21
Mg: 0.0000 0.5000 0.5000 [2 per cell]  8 Mg 3.15-3.21, 4 In 3.16
Al: 0.5000 0.5000 0.0000 [1 per cell]  12 Mg 3.07-3.21
In: 0.5000 0.5000 0.1974 [2 per cell]  12 Mg 3.16-3.21
In: 0.5000 0.5000 0.3993 [2 per cell]  12 Mg 3.16-3.21

Properties
- formation energy (eV/f.u.) = -1.14



Record 2
Here is a geometry-optimized Mg2AlInN structure from the Alexandria database. Energies are from PBE.

a = 4.5364 Å, b = 4.5364 Å, c = 3.9162 Å
α = 90.00°, β = 90.00°, γ = 90.00°
Closest atoms and distances in Å follow each position.
Space group P4/mmm (No. 123)
Symmetry-distinct sites (fractional):
Mg: 0.0000 0.5000 0.0000 [2 per cell]  2 N 2.27
Al: 0.0000 0.0000 0.5000 [1 per cell]  2 N 1.96
In: 0.5000 0.5000 0.5000 [1 per cell]  8 Mg 3.00, 4 Al 3.21
N: 0.0000 0.0000 0.0000 [1 per cell]  2 Al 1.96

Properties
- final energy (eV/atom) = -3.842



Record 3
Here is a geometry-optimized NaMgAlIn structure from the Alexandria database. Energies are from PBE.

a = 7.1390 Å, b = 7.1390 Å, c = 7.1390 Å
α = 90.00°, β = 90.00°, γ = 90.00°
Closest atoms and distances in Å follow each position.
Space group F-43m (No. 216)
Symmetry-distinct sites (fractional):
Na: 0.0000 0.0000 0.0000 [4 per cell]  4 In 3.09, 4 Al 3.09
Mg: 0.0000 0.0000 0.5000 [4 per cell]  4 In 3.09, 4 Al 3.09
Al: 0.2500 0.2500 0.7500 [4 per cell]  4 Na 3.09, 4 Mg 3.09
In: 0.2500 0.2500 0.2500 [4 per cell]  4 Na 3.09, 4 Mg 3.09

Properties
- formation energy (eV/f.u.) = 0.27



Record 4
Here is a geometry-optimized NdMgAlIn structure from the Alexandria database. Energies are from PBE.

a = 7.3042 Å, b = 7.3042 Å, c = 7.3042 Å
α = 90.00°, β = 90.00°, γ = 90.00°
Closest atoms and distances in Å follow each position.
Space group F-43m (No. 216)
Symmetry-distinct sites (fractional):
Nd: 0.0000 0.0000 0.0000 [4 per cell]  4 Al 3.16, 4 In 3.16
Mg: 0.0000 0.0000 0.5000 [4 per cell]  4 In 3.16, 4 Al 3.16
Al: 0.2500 0.2500 0.7500 [4 per cell]  4 Mg 3.16, 4 Nd 3.16
In: 0.2500 0.2500 0.2500 [4 per cell]  4 Mg 3.16, 4 Nd 3.16

Properties
- distance to the lowest polymorph of the same formula (eV/f.u.) = 0.50
- formation energy (eV/f.u.) = -0.91



Record 5
Here is a geometry-optimized NdMgAlIn structure from the Alexandria database. Energies are from PBE.

a = 4.5270 Å, b = 4.5472 Å, c = 4.6715 Å
α = 90.00°, β = 90.00°, γ = 90.00°
Closest atoms and distances in Å follow each position.
Space group Pmmm (No. 47)
Symmetry-distinct sites (fractional):
Nd: 0.0000 0.0000 0.0000 [1 per cell]  4 Al 3.21, 4 In 3.25, 4 Mg 3.26
Mg: 0.0000 0.5000 0.5000 [1 per cell]  4 In 3.21, 4 Al 3.25, 4 Nd 3.26
Al: 0.5000 0.5000 0.0000 [1 per cell]  4 Nd 3.21, 4 Mg 3.25, 4 In 3.26
In: 0.5000 0.0000 0.5000 [1 per cell]  4 Mg 3.21, 4 Nd 3.25, 4 Al 3.26

Properties
- distance to the lowest polymorph of the same formula (eV/f.u.) = 0.00
- formation energy (eV/f.u.) = -1.41



Record 6
Here is a geometry-optimized MgAlInO4 structure from the Alexandria database. Energies are from PBE.

a = 5.8442 Å, b = 8.8903 Å, c = 6.4601 Å
α = 90.00°, β = 90.00°, γ = 90.00°
Closest atoms and distances in Å follow each position.
Space group Cmcm (No. 63)
Symmetry-distinct sites (fractional):
Mg: 0.0000 0.1604 0.2500 [4 per cell]  4 O 1.97-2.07
Al: 0.0000 0.1530 0.7500 [4 per cell]  4 O 1.75-1.83
In: 0.0000 0.5000 0.0000 [4 per cell]  6 O 2.14-2.25
O: 0.0000 0.2600 0.5218 [8 per cell]  1 Al 1.75
O: 0.2323 0.0150 0.7500 [8 per cell]  1 Al 1.83

Properties
- final energy (eV/atom) = -6.326



Record 7
Here is a geometry-optimized MgAl2InP structure from the Alexandria database. Energies are from PBE.

a = 5.0588 Å, b = 5.0588 Å, c = 5.2650 Å
α = 90.00°, β = 90.00°, γ = 90.00°
Closest atoms and distances in Å follow each position.
Space group P4/mmm (No. 123)
Symmetry-distinct sites (fractional):
Mg: 0.0000 0.0000 0.0000 [1 per cell]  4 Al 2.53, 2 In 2.63
Al: 0.0000 0.5000 0.0000 [2 per cell]  2 Mg 2.53
In: 0.0000 0.0000 0.5000 [1 per cell]  2 Mg 2.63
P: 0.5000 0.5000 0.5000 [1 per cell]  4 In 3.58, 8 Al 3.65

Properties
- formation energy (eV/f.u.) = 4.88



Record 8
Here is a geometry-optimized MgAlInPb structure from the Alexandria database. Energies are from PBE.

a = 7.3561 Å, b = 7.3561 Å, c = 7.3561 Å
α = 90.00°, β = 90.00°, γ = 90.00°
Closest atoms and distances in Å follow each position.
Space group F-43m (No. 216)
Symmetry-distinct sites (fractional):
Mg: 0.0000 0.0000 0.0000 [4 per cell]  4 Pb 3.19, 4 In 3.19
Al: 0.0000 0.0000 0.5000 [4 per cell]  4 In 3.19, 4 Pb 3.19
In: 0.2500 0.2500 0.2500 [4 per cell]  4 Mg 3.19, 4 Al 3.19
Pb: 0.2500 0.2500 0.7500 [4 per cell]  4 Mg 3.19, 4 Al 3.19

Properties
- formation energy (eV/f.u.) = 0.46



Record 9
Here is a geometry-optimized MgAl2In2Pd5 structure from the Alexandria database. Energies are from PBE.

a = 9.7403 Å, b = 9.7403 Å, c = 3.6021 Å
α = 90.00°, β = 90.00°, γ = 90.00°
Closest atoms and distances in Å follow each position.
Space group P4/mbm (No. 127)
Symmetry-distinct sites (fractional):
Mg: 0.0000 0.0000 0.0000 [2 per cell]  8 Pd 2.76
Al: 0.1292 0.3708 0.0000 [4 per cell]  6 Pd 2.52-2.53, 1 In 2.78
In: 0.1690 0.6690 0.0000 [4 per cell]  3 Al 2.78-2.93, 6 Pd 2.94-2.96
Pd: 0.0000 0.5000 0.5000 [2 per cell]  4 Al 2.53
Pd: 0.0909 0.1943 0.5000 [8 per cell]  2 Al 2.52, 2 Mg 2.76

Properties
- formation energy (eV/f.u.) = -5.43



Record 10
Here is a geometry-optimized Mg2AlIn2Pd4 structure from the Alexandria database. Energies are from PBE.

a = 6.2818 Å, b = 6.2818 Å, c = 8.4462 Å
α = 90.00°, β = 90.00°, γ = 90.00°
Closest atoms and distances in Å follow each position.
Space group I4/mmm (No. 139)
Symmetry-distinct sites (fractional):
Mg: 0.0000 0.0000 0.1914 [4 per cell]  1 Al 2.61, 4 Pd 2.65
Al: 0.0000 0.0000 0.5000 [2 per cell]  4 Pd 2.35, 2 Mg 2.61
In: 0.0000 0.5000 0.2500 [4 per cell]  8 Pd 3.07, 4 Mg 3.18
Pd: 0.2360 0.2360 0.0000 [8 per cell]  1 Al 2.35

Properties
- formation energy (eV/f.u.) = -3.10



Record 11
Here is a geometry-optimized MgAl2InPt structure from the Alexandria database. Energies are from PBE.

a = 4.7953 Å, b = 4.7953 Å, c = 5.2935 Å
α = 90.00°, β = 90.00°, γ = 90.00°
Closest atoms and distances in Å follow each position.
Space group P4/mmm (No. 123)
Symmetry-distinct sites (fractional):
Mg: 0.0000 0.0000 0.0000 [1 per cell]  4 In 3.39, 8 Al 3.57
Al: 0.0000 0.5000 0.5000 [2 per cell]  2 Pt 2.40
In: 0.5000 0.5000 0.0000 [1 per cell]  2 Pt 2.65
Pt: 0.5000 0.5000 0.5000 [1 per cell]  4 Al 2.40, 2 In 2.65

Properties
- formation energy (eV/f.u.) = -0.53



Record 12
Here is a geometry-optimized Mg2Al2InPt5 structure from the Alexandria database. Energies are from PBE.

a = 9.4514 Å, b = 9.4514 Å, c = 3.7711 Å
α = 90.00°, β = 90.00°, γ = 90.00°
Closest atoms and distances in Å follow each position.
Space group P4/mbm (No. 127)
Symmetry-distinct sites (fractional):
Mg: 0.1734 0.3266 0.0000 [4 per cell]  3 Al 2.71-2.85, 2 Pt 2.99
Al: 0.1240 0.6240 0.0000 [4 per cell]  6 Pt 2.51-2.52, 1 Mg 2.71
In: 0.0000 0.0000 0.0000 [2 per cell]  8 Pt 2.80
Pt: 0.0000 0.5000 0.5000 [2 per cell]  4 Al 2.51
Pt: 0.0758 0.7946 0.5000 [8 per cell]  2 Al 2.52, 2 In 2.80

Properties
- formation energy (eV/f.u.) = -7.50



Record 13
Here is a geometry-optimized PuMgAlIn structure from the Alexandria database. Energies are from PBE.

a = 7.1825 Å, b = 7.1825 Å, c = 7.1825 Å
α = 90.00°, β = 90.00°, γ = 90.00°
Closest atoms and distances in Å follow each position.
Space group F-43m (No. 216)
Symmetry-distinct sites (fractional):
Pu: 0.0000 0.0000 0.0000 [4 per cell]  4 In 3.11, 4 Al 3.11
Mg: 0.0000 0.0000 0.5000 [4 per cell]  4 Al 3.11, 4 In 3.11
Al: 0.2500 0.2500 0.7500 [4 per cell]  4 Mg 3.11, 4 Pu 3.11
In: 0.2500 0.2500 0.2500 [4 per cell]  4 Mg 3.11, 4 Pu 3.11

Properties
- formation energy (eV/f.u.) = -0.41



Record 14
Here is a geometry-optimized MgAl2InRu structure from the Alexandria database. Energies are from PBE.

a = 4.7931 Å, b = 4.7931 Å, c = 5.0142 Å
α = 90.00°, β = 90.00°, γ = 90.00°
Closest atoms and distances in Å follow each position.
Space group P4/mmm (No. 123)
Symmetry-distinct sites (fractional):
Mg: 0.0000 0.0000 0.0000 [1 per cell]  4 Ru 3.39, 8 Al 3.47
Al: 0.0000 0.5000 0.5000 [2 per cell]  2 In 2.40
In: 0.5000 0.5000 0.5000 [1 per cell]  4 Al 2.40, 2 Ru 2.51
Ru: 0.5000 0.5000 0.0000 [1 per cell]  2 In 2.51

Properties
- formation energy (eV/f.u.) = 5.77



Record 15
Here is a geometry-optimized MgAlIn2S6 structure from the Alexandria database. Energies are from PBE.

a = 13.6735 Å, b = 14.7142 Å, c = 6.4048 Å
α = 90.00°, β = 115.60°, γ = 90.00°
Closest atoms and distances in Å follow each position.
Space group C2/c (No. 15)
Symmetry-distinct sites (fractional):
Mg: 0.0000 0.2076 0.2500 [4 per cell]  4 S 2.46-2.48
Al: 0.0000 0.1885 0.7500 [4 per cell]  4 S 2.27
In: 0.2192 0.4010 0.8030 [8 per cell]  4 S 2.45-2.52
S: 0.0843 0.1025 0.0733 [8 per cell]  1 Al 2.27, 1 In 2.45, 1 Mg 2.48
S: 0.1231 0.4858 0.9914 [8 per cell]  2 In 2.47-2.49
S: 0.1243 0.2523 0.6474 [8 per cell]  1 Al 2.27, 1 Mg 2.46, 1 In 2.52

Properties
- final energy (eV/atom) = -4.203



Record 16
Here is a geometry-optimized MgAlInS4 structure from the Alexandria database. Energies are from PBE.

a = 7.3925 Å, b = 7.4917 Å, c = 10.4888 Å
α = 90.00°, β = 90.00°, γ = 90.00°
Closest atoms and distances in Å follow each position.
Space group Imma (No. 74)
Symmetry-distinct sites (fractional):
Mg: 0.2500 0.2500 0.2500 [4 per cell]  6 S 2.58-2.59
Al: 0.0000 0.2500 0.6334 [4 per cell]  4 S 2.29-2.33
In: 0.0000 0.0000 0.0000 [4 per cell]  6 S 2.62-2.64
S: 0.0000 0.0081 0.2498 [8 per cell]  1 Al 2.29
S: 0.2484 0.2500 0.4963 [8 per cell]  1 Al 2.33, 1 Mg 2.58

Properties
- final energy (eV/atom) = -4.473



Record 17
Here is a geometry-optimized Mg2AlInSe structure from the Alexandria database. Energies are from PBE.

a = 5.3016 Å, b = 5.3016 Å, c = 5.0210 Å
α = 90.00°, β = 90.00°, γ = 90.00°
Closest atoms and distances in Å follow each position.
Space group P4/mmm (No. 123)
Symmetry-distinct sites (fractional):
Mg: 0.0000 0.5000 0.0000 [2 per cell]  2 In 2.65
Al: 0.0000 0.0000 0.5000 [1 per cell]  2 In 2.51
In: 0.0000 0.0000 0.0000 [1 per cell]  2 Al 2.51, 4 Mg 2.65
Se: 0.5000 0.5000 0.5000 [1 per cell]  8 Mg 3.65, 4 Al 3.75

Properties
- final energy (eV/atom) = -2.339



Record 18
Here is a geometry-optimized SrMg2AlIn structure from the Alexandria database. Energies are from PBE.

a = 6.2763 Å, b = 6.2763 Å, c = 6.1630 Å
α = 90.00°, β = 90.00°, γ = 90.00°
Closest atoms and distances in Å follow each position.
Space group P4/mmm (No. 123)
Symmetry-distinct sites (fractional):
Sr: 0.0000 0.0000 0.0000 [1 per cell]  2 In 3.08, 4 Mg 3.14
Mg: 0.0000 0.5000 0.0000 [2 per cell]  2 Sr 3.14
Al: 0.5000 0.5000 0.5000 [1 per cell]  8 Mg 4.40, 4 In 4.44
In: 0.0000 0.0000 0.5000 [1 per cell]  2 Sr 3.08

Properties
- formation energy (eV/f.u.) = 5.58



Record 19
Here is a geometry-optimized Sr2MgAlIn6 structure from the Alexandria database. Energies are from PBE.

a = 7.3387 Å, b = 7.3387 Å, c = 38.4751 Å
α = 90.00°, β = 90.00°, γ = 120.00°
Closest atoms and distances in Å follow each position.
Space group R-3m (No. 166, hexagonal axes)
Symmetry-distinct sites (fractional):
Sr: 0.0000 0.0000 0.1120 [6 per cell]  12 In 3.73-3.97
Sr: 0.0000 0.0000 0.2891 [6 per cell]  12 In 3.66-3.69
Mg: 0.0000 0.0000 0.0000 [3 per cell]  6 In 2.84
Mg: 0.0000 0.0000 0.5000 [3 per cell]  2 Al 2.77, 6 In 2.92
Al: 0.0000 0.0000 0.4280 [6 per cell]  1 Mg 2.77, 6 In 2.83
In: 0.0480 0.5240 0.2950 [18 per cell]  1 Al 2.83, 1 Mg 2.84, 2 In 3.14
In: 0.0625 0.5313 0.8717 [18 per cell]  1 Al 2.83, 1 Mg 2.92, 2 In 2.98

Properties
- formation energy (eV/f.u.) = -1.24



Record 20
Here is a geometry-optimized SrMgAlIn2 structure from the Alexandria database. Energies are from PBE.

a = 4.6287 Å, b = 4.6287 Å, c = 12.4699 Å
α = 90.00°, β = 90.00°, γ = 90.00°
Closest atoms and distances in Å follow each position.
Space group I-4m2 (No. 119)
Symmetry-distinct sites (fractional):
Sr: 0.0000 0.0000 0.0000 [2 per cell]  8 In 3.57, 4 Mg 3.88, 4 Al 3.88
Mg: 0.0000 0.5000 0.7500 [2 per cell]  4 In 2.87
Al: 0.0000 0.5000 0.2500 [2 per cell]  4 In 2.87
In: 0.0000 0.0000 0.3857 [4 per cell]  1 In 2.85, 2 Mg 2.87, 2 Al 2.87

Properties
- formation energy (eV/f.u.) = -1.32



| no. | M_tot (μB per formula unit) |
| --- | --- |
| 1 | 0.00 |
| 2 | 0.00 |
| 3 | 0.00 |
| 4 | 0.00 |
| 5 | 0.00 |
| 6 | 0.00 |
| 7 | 0.00 |
| 8 | 0.00 |
| 9 | 0.00 |
| 10 | 0.00 |
| 11 | 0.00 |
| 12 | 0.00 |
| 13 | 5.76 |
| 14 | 0.00 |
| 15 | 0.00 |
| 16 | 0.00 |
| 17 | 0.00 |
| 18 | 0.00 |
| 19 | 0.00 |
| 20 | 0.00 |